Below is an optimized crystal structure of La2NiRhO6, with properties calculated at the PBE+U level.

Cell lengths 5.558, 5.747, 9.666 Å; angles 90.00, 125.07, 90.00 degrees
Element x y z (fractional)
La (0.238, 0.055, 0.251)
La (0.238, 0.445, 0.751)
La (0.762, 0.555, 0.249)
La (0.762, 0.945, 0.749)
Ni (0.500, 0.000, 0.000)
Ni (0.500, 0.500, 0.500)
Rh (0.000, 0.000, 0.500)
Rh (0.000, 0.500, 0.000)
O (0.149, 0.207, 0.953)
O (0.149, 0.293, 0.453)
O (0.248, 0.701, 0.953)
O (0.248, 0.799, 0.453)
O (0.337, 0.025, 0.748)
O (0.337, 0.475, 0.248)
O (0.663, 0.525, 0.752)
O (0.663, 0.975, 0.252)
O (0.752, 0.201, 0.547)
O (0.752, 0.299, 0.047)
O (0.851, 0.707, 0.547)
O (0.851, 0.793, 0.047)

E = -143.0 eV/cell
M_tot = 6.09 Bohr magnetons per cell
density = 7.04 g/cm³
crystal system = monoclinic
space-group type = No. 14